# 1
Computed, not measured: a relaxed structure of Mg2GaCuSe4 at the GGA-PBE level of DFT.

Structure (POSCAR):
```
Mg2GaCuSe4
1.0
0.0000 4.1274 5.8090
4.1270 0.0000 5.8090
4.1270 4.1274 0.0000
Mg Ga Cu Se
2 1 1 4
Cartesian
2.0635 2.0637 0.0000 Mg
2.0635 2.0637 5.8090 Mg
4.1270 4.1274 2.9077 Ga
4.1270 4.1274 8.7055 Cu
4.1270 2.0655 4.2568 Se
6.1960 4.1274 7.3601 Se
4.1270 6.1893 4.2568 Se
2.0580 4.1274 7.3601 Se
```

Values from the calculation:
- E: -3.88 eV/atom
- Space group: Fmm2, No. 42
- Formation energy without anion corrections: -846 meV per atom
- Volume: 197.9 Å³ per cell

***

# 2
Computed, not measured: a relaxed structure of LaPCl2F at the GGA-PBE level of DFT.

Structure (POSCAR):
```
LaPCl2F
1.0
5.1470 0.0000 0.0000
0.0000 5.1470 0.0000
0.0000 0.0000 3.8746
La P Cl F
1 1 2 1
Cartesian
0.0000 0.0000 0.0000 La
2.5735 2.5735 0.0000 P
0.0000 2.5735 1.9373 Cl
2.5735 0.0000 1.9373 Cl
2.5735 2.5735 1.9373 F
```

Values from the calculation:
- E: -4.24 eV/atom
- DOS at the Fermi energy: 1.4 states/eV/cell
- Energy above the lowest structure with this stoichiometry: 0 meV/atom
- Space group: P4/mmm, No. 123
- Formation energy without anion corrections: -1057 meV per atom
- Volume: 102.6 Å³ per cell

***

# 3
Computed, not measured: a relaxed structure of Ba2GaH at the GGA-PBE level of DFT.

Structure (POSCAR):
```
Ba2GaH
1.0
-3.9201 3.9201 4.3532
3.9201 -3.9201 4.3532
3.9201 3.9201 -4.3532
Ba Ga H
4 2 2
Cartesian
5.8802 1.3464 -1.0883 Ba
1.3464 1.9601 1.0883 Ba
-1.9601 2.5737 3.2649 Ba
2.5737 1.9601 5.4415 Ba
3.9201 0.0000 2.1766 Ga
0.0000 0.0000 4.3532 Ga
0.0000 0.0000 0.0000 H
0.0000 3.9201 2.1766 H
```

Values from the calculation:
- E: -2.76 eV/atom
- DOS at the Fermi energy: 1.2 states/eV/cell
- Energy above the lowest structure with this stoichiometry: 1 meV/atom
- Space group: I-42d, No. 122
- Volume: 267.6 Å³ per cell

***

# 4
Computed, not measured: a relaxed structure of KPu2USe5 at the GGA-PBE level of DFT.

Structure (POSCAR):
```
KPu2USe5
1.0
-2.6355 3.7041 7.2012
2.6355 -3.7041 7.2012
2.6355 3.7041 -7.2012
K Pu U Se
1 2 1 5
Cartesian
0.0000 0.0000 0.0000 K
2.6355 0.0000 4.2747 Pu
0.0000 3.7041 2.9265 Pu
0.0000 0.0000 7.2012 U
2.6355 1.9321 -2.1665 Se
2.6355 1.9321 2.1665 Se
0.0000 3.7041 0.0000 Se
0.0000 1.7720 5.0347 Se
0.0000 1.7720 9.3678 Se
```

Values from the calculation:
- E: -7.77 eV/atom
- DOS at the Fermi energy: 24.5 states/eV/cell
- Space group: Immm, No. 71
- Formation energy without anion corrections: -1276 meV per atom
- Volume: 281.2 Å³ per cell

***

# 5
Computed, not measured: a relaxed structure of TlTc5 at the GGA-PBE level of DFT.

Structure (POSCAR):
```
TlTc5
1.0
0.0000 3.6538 3.6538
3.6538 0.0000 3.6538
3.6538 3.6538 0.0000
Tl Tc
1 5
Cartesian
0.0000 0.0000 0.0000 Tl
2.7355 2.7355 2.7355 Tc
4.5721 4.5721 2.7355 Tc
4.5721 2.7355 4.5721 Tc
5.4808 5.4808 5.4808 Tc
2.7355 4.5721 4.5721 Tc
```

Values from the calculation:
- E: -8.50 eV/atom
- DOS at the Fermi energy: 4.6 states/eV/cell
- Energy above the lowest structure with this stoichiometry: 225 meV/atom
- Space group: F-43m, No. 216
- Formation energy: 0.528 eV/atom
- Volume: 97.6 Å³ per cell

***

# 6
Computed, not measured: a relaxed structure of KSrPW2 at the GGA-PBE level of DFT.

Structure (POSCAR):
```
KSrPW2
1.0
5.0564 0.0000 0.0000
0.0000 5.0564 0.0000
0.0000 0.0000 5.4303
K Sr P W
1 1 1 2
Cartesian
0.0000 0.0000 0.0000 K
0.0000 0.0000 2.7151 Sr
2.5282 2.5282 0.0000 P
0.0000 2.5282 2.7151 W
2.5282 0.0000 2.7151 W
```

Values from the calculation:
- E: -3.71 eV/atom
- DOS at the Fermi energy: 4.7 states/eV/cell
- Space group: P4/mmm, No. 123
- Formation energy: 3.110 eV/atom
- Volume: 138.8 Å³ per cell

***

What did the first record say?
Computed, not measured: a relaxed structure of Mg2GaCuSe4 at the GGA-PBE level of DFT.

Structure (POSCAR):
```
Mg2GaCuSe4
1.0
0.0000 4.1274 5.8090
4.1270 0.0000 5.8090
4.1270 4.1274 0.0000
Mg Ga Cu Se
2 1 1 4
Cartesian
2.0635 2.0637 0.0000 Mg
2.0635 2.0637 5.8090 Mg
4.1270 4.1274 2.9077 Ga
4.1270 4.1274 8.7055 Cu
4.1270 2.0655 4.2568 Se
6.1960 4.1274 7.3601 Se
4.1270 6.1893 4.2568 Se
2.0580 4.1274 7.3601 Se
```

Values from the calculation:
- E: -3.88 eV/atom
- Space group: Fmm2, No. 42
- Formation energy without anion corrections: -846 meV per atom
- Volume: 197.9 Å³ per cell